1.
Below is a relaxed structure of Pr2Ga6Ni, with properties calculated at the GGA-PBE level.

The space-group type is No. 225. The calculation puts the offset from the most stable computed form at 0.000 eV per atom. The density comes out at 7.19 g/cm3. Its energy of formation from the pure elements is -0.58 eV/atom.

Geometry as extended XYZ:
```
9
Lattice="0.000 4.442 4.442 4.442 0.000 4.442 4.442 4.442 0.000" Properties=species:S:1:pos:R:3 pbc="T T T"
Pr 2.221 2.221 2.221
Pr 6.664 6.664 6.664
Ga 4.442 4.442 1.973
Ga 4.442 1.973 4.442
Ga 6.912 4.442 4.442
Ga 1.973 4.442 4.442
Ga 4.442 6.912 4.442
Ga 4.442 4.442 6.912
Ni 4.442 4.442 4.442
```

2.
Below is a relaxed structure of Nb2V3Mo3, with properties calculated at the GGA-PBE level.

The space-group type is No. 71. The density comes out at 8.39 g/cm3. Its energy of formation from the pure elements is -0.07 eV/atom.

Geometry as extended XYZ:
```
8
Lattice="-1.571 2.251 8.766 1.571 -2.251 8.766 1.571 2.251 -8.766" Properties=species:S:1:pos:R:3 pbc="T T T"
Nb 0.000 0.000 4.361
Nb 0.000 0.000 13.171
V 0.000 0.000 0.000
V 1.571 0.000 6.696
V 0.000 2.251 2.070
Mo 1.571 0.000 2.085
Mo 0.000 0.000 8.766
Mo 0.000 2.251 6.681
```

3.
Below is a relaxed structure of SrCa2CuPt, with properties calculated at the GGA-PBE level.

The space-group type is No. 123. The density comes out at 3.20 g/cm3. Its energy of formation from the pure elements is 1.03 eV/atom.

Geometry as extended XYZ:
```
5
Lattice="6.539 0.000 0.000 0.000 6.539 0.000 0.000 0.000 5.178" Properties=species:S:1:pos:R:3 pbc="T T T"
Sr 0.000 0.000 0.000
Ca 0.000 3.269 0.000
Ca 3.269 0.000 0.000
Cu 3.269 3.269 2.589
Pt 0.000 0.000 2.589
```

4.
Below is a relaxed structure of Ti7Rh2C2, with properties calculated at the GGA-PBE level.

The space-group type is No. 65. The density comes out at 5.81 g/cm3. Its energy of formation from the pure elements is -0.40 eV/atom.

Geometry as extended XYZ:
```
11
Lattice="3.339 -4.243 0.000 3.339 4.243 0.000 0.000 0.000 5.695" Properties=species:S:1:pos:R:3 pbc="T T T"
Ti 0.000 0.000 0.000
Ti 1.669 2.122 1.360
Ti 1.669 2.122 4.335
Ti 1.669 -2.122 1.360
Ti 1.669 -2.122 4.335
Ti 3.339 0.000 1.334
Ti 3.339 0.000 4.360
Rh 1.272 0.000 2.847
Rh 5.406 0.000 2.847
C 3.339 1.908 0.000
C 3.339 -1.908 0.000
```

5.
Below is a relaxed structure of NaCd2Bi, with properties calculated at the GGA-PBE level.

The space-group type is No. 216. The density comes out at 7.23 g/cm3. Its energy of formation from the pure elements is -0.10 eV/atom.

Geometry as extended XYZ:
```
4
Lattice="0.000 3.743 3.743 3.743 0.000 3.743 3.743 3.743 0.000" Properties=species:S:1:pos:R:3 pbc="T T T"
Na 0.000 0.000 0.000
Cd 1.871 1.871 1.871
Cd 3.743 3.743 3.743
Bi 5.614 5.614 5.614
```

6.
Below is a relaxed structure of Li12Ag5Pd3, with properties calculated at the GGA-PBE level.

The space-group type is No. 230. The density comes out at 3.82 g/cm3. Its energy of formation from the pure elements is 0.09 eV/atom.

Geometry as extended XYZ:
```
80
Lattice="-7.428 7.428 7.428 7.428 -7.428 7.428 7.428 7.428 -7.428" Properties=species:S:1:pos:R:3 pbc="T T T"
Li 2.279 -0.214 1.228
Li 8.863 4.942 -3.928
Li 7.214 -1.228 2.279
Li 11.356 -1.435 2.486
Li 9.707 0.214 1.228
Li 8.863 -2.486 3.928
Li 1.228 2.279 -0.214
Li 9.914 3.500 -1.435
Li 4.942 3.928 -1.435
Li 6.200 2.279 0.214
Li -0.214 1.228 2.279
Li 3.928 -1.435 4.942
Li 7.214 6.200 -2.279
Li 3.928 1.435 2.486
Li 6.200 -2.279 7.214
Li 4.942 -3.928 8.863
Li 2.486 3.928 1.435
Li 8.656 5.149 0.214
Li 2.279 7.214 -1.228
Li 8.863 2.486 3.500
Li 3.928 8.863 -2.486
Li 7.214 1.228 5.149
Li 1.435 2.486 3.928
Li 2.279 0.214 6.200
Li 5.149 7.214 1.228
Li 5.993 4.942 3.500
Li 0.214 6.200 2.279
Li 3.500 -1.435 9.914
Li -1.435 4.942 3.928
Li 5.149 0.214 8.656
Li -1.228 2.279 7.214
Li 4.942 3.500 5.993
Li 2.486 11.356 -1.435
Li 1.228 9.707 0.214
Li 3.500 5.993 4.942
Li 0.214 1.228 9.707
Li 3.500 8.863 2.486
Li 7.642 6.200 5.149
Li 1.228 5.149 7.214
Li 2.486 3.500 8.863
Li -2.486 3.928 8.863
Li 6.200 5.149 7.642
Li -1.435 9.914 3.500
Li -2.279 7.214 6.200
Li -3.928 8.863 4.942
Li 0.214 8.656 5.149
Li -1.435 2.486 11.356
Li 5.149 7.642 6.200
Ag 0.000 0.000 0.000
Ag 3.714 3.714 -3.714
Ag 3.714 -3.714 3.714
Ag 7.428 0.000 0.000
Ag 11.142 1.857 0.000
Ag 7.428 -3.714 5.571
Ag 5.571 7.428 -3.714
Ag 5.571 0.000 3.714
Ag 3.714 5.571 0.000
Ag 7.428 3.714 1.857
Ag -3.714 3.714 3.714
Ag 0.000 7.428 0.000
Ag 0.000 0.000 7.428
Ag 3.714 3.714 3.714
Ag 0.000 3.714 5.571
Ag 3.714 1.857 7.428
Ag 1.857 7.428 3.714
Ag 1.857 0.000 11.142
Ag 0.000 11.142 1.857
Ag -3.714 5.571 7.428
Pd 3.714 1.857 0.000
Pd 7.428 3.714 -1.857
Pd 1.857 0.000 3.714
Pd 9.285 0.000 3.714
Pd 0.000 3.714 1.857
Pd 3.714 -1.857 7.428
Pd 3.714 9.285 0.000
Pd 7.428 3.714 5.571
Pd -1.857 7.428 3.714
Pd 5.571 7.428 3.714
Pd 0.000 3.714 9.285
Pd 3.714 5.571 7.428
```

7.
Below is a relaxed structure of MnCu2Ag2, with properties calculated at the GGA-PBE level.

The space-group type is No. 127. The calculation puts the offset from the most stable computed form at 0.339 eV per atom. The density comes out at 8.67 g/cm3. Its energy of formation from the pure elements is 0.69 eV/atom.

Geometry as extended XYZ:
```
10
Lattice="7.549 0.000 0.000 0.000 7.549 0.000 0.000 0.000 2.674" Properties=species:S:1:pos:R:3 pbc="T T T"
Mn 0.000 0.000 0.000
Mn 3.775 3.775 0.000
Cu 1.264 2.511 1.337
Cu 2.511 6.285 1.337
Cu 5.039 1.264 1.337
Cu 6.285 5.039 1.337
Ag 0.998 4.773 0.000
Ag 2.777 0.998 0.000
Ag 4.773 6.551 0.000
Ag 6.551 2.777 0.000
```

8.
Below is a relaxed structure of La4AgIr2, with properties calculated at the GGA-PBE level.

The space-group type is No. 74. The calculation puts the offset from the most stable computed form at 0.060 eV per atom. The density comes out at 7.97 g/cm3. Its energy of formation from the pure elements is -0.50 eV/atom.

Geometry as extended XYZ:
```
14
Lattice="-4.741 4.748 4.851 4.741 -4.748 4.851 4.741 4.748 -4.851" Properties=species:S:1:pos:R:3 pbc="T T T"
La 2.957 2.374 -0.309
La 6.525 2.374 -0.309
La 0.000 0.589 2.116
La 4.741 0.589 2.735
La 0.000 4.159 2.116
La 4.741 4.159 2.735
La -1.784 2.374 5.160
La 1.784 2.374 5.160
Ag 4.741 -2.374 3.622
Ag 0.000 7.123 1.229
Ir 4.741 0.000 0.000
Ir -2.370 2.374 2.425
Ir 0.000 0.000 4.851
Ir 2.370 2.374 2.425
```

9.
Below is a relaxed structure of YNi2Rh, with properties calculated at the GGA-PBE level.

The space-group type is No. 139. The density comes out at 8.36 g/cm3. Its energy of formation from the pure elements is -0.24 eV/atom.

Geometry as extended XYZ:
```
4
Lattice="-2.023 2.023 3.753 2.023 -2.023 3.753 2.023 2.023 -3.753" Properties=species:S:1:pos:R:3 pbc="T T T"
Y 0.000 0.000 0.000
Ni 2.023 0.000 1.877
Ni 0.000 2.023 1.877
Rh 0.000 0.000 3.753
```

10.
Below is a relaxed structure of ZnCoTe2, with properties calculated at the GGA-PBE level.

The space-group type is No. 38. The value obtained for the total DFT energy (no corrections) is -14.5 eV for the cell shown. The density comes out at 7.30 g/cm3.

Geometry as extended XYZ:
```
4
Lattice="4.611 0.000 0.000 0.000 2.673 3.503 0.000 -2.673 3.503" Properties=species:S:1:pos:R:3 pbc="T T T"
Zn 0.000 0.000 0.000
Co 2.306 0.000 1.370
Te 0.000 0.000 2.646
Te 2.306 0.000 5.579
```

11.
Below is a relaxed structure of NaSbAs2, with properties calculated at the GGA-PBE level.

The space-group type is No. 166. The value obtained for the total DFT energy (no corrections) is -15.0 eV for the cell shown. The density comes out at 4.84 g/cm3.

Geometry as extended XYZ:
```
4
Lattice="1.950 1.126 7.683 -1.950 1.126 7.683 0.000 -2.251 7.683" Properties=species:S:1:pos:R:3 pbc="T T T"
Na 0.000 0.000 0.000
Sb 0.000 0.000 11.525
As 0.000 0.000 5.511
As 0.000 0.000 17.540
```

12.
Below is a relaxed structure of MnZnHg2, with properties calculated at the GGA-PBE level.

The space-group type is No. 225. The calculation puts the offset from the most stable computed form at 0.040 eV per atom. The density comes out at 11.63 g/cm3. Its energy of formation from the pure elements is 0.24 eV/atom.

Geometry as extended XYZ:
```
4
Lattice="0.000 3.339 3.339 3.339 0.000 3.339 3.339 3.339 0.000" Properties=species:S:1:pos:R:3 pbc="T T T"
Mn 0.000 0.000 0.000
Zn 3.339 3.339 3.339
Hg 1.669 1.669 1.669
Hg 5.008 5.008 5.008
```

13.
Below is a relaxed structure of LiMoP4, with properties calculated at the GGA-PBE level.

The space-group type is No. 216. The density comes out at 4.37 g/cm3. Its energy of formation from the pure elements is 0.49 eV/atom.

Geometry as extended XYZ:
```
6
Lattice="0.000 3.507 3.507 3.507 0.000 3.507 3.507 3.507 0.000" Properties=species:S:1:pos:R:3 pbc="T T T"
Li 0.000 0.000 0.000
Mo 1.753 1.753 1.753
P 4.369 2.644 2.644
P 2.644 4.369 2.644
P 2.644 2.644 4.369
P 4.369 4.369 4.369
```

14.
Below is a relaxed structure of Ni4MoW, with properties calculated at the GGA-PBE level.

The space-group type is No. 47. The calculation puts the offset from the most stable computed form at 0.000 eV per atom. The density comes out at 11.43 g/cm3. Its energy of formation from the pure elements is -0.08 eV/atom.

Geometry as extended XYZ:
```
6
Lattice="2.649 0.000 0.000 0.000 3.650 0.000 0.000 0.000 7.730" Properties=species:S:1:pos:R:3 pbc="T T T"
Ni 0.000 0.000 1.303
Ni 0.000 0.000 6.428
Ni 1.325 1.825 2.557
Ni 1.325 1.825 5.174
Mo 0.000 0.000 3.865
W 1.325 1.825 0.000
```

15.
Below is a relaxed structure of MnZnMo, with properties calculated at the GGA-PBE level.

The space-group type is No. 107. The calculation puts the offset from the most stable computed form at 0.057 eV per atom. The density comes out at 8.45 g/cm3. Its energy of formation from the pure elements is 0.16 eV/atom.

Geometry as extended XYZ:
```
3
Lattice="-1.325 1.325 6.054 1.325 -1.325 6.054 1.325 1.325 -6.054" Properties=species:S:1:pos:R:3 pbc="T T T"
Mn 0.000 0.000 0.000
Zn 0.000 0.000 4.152
Mo 0.000 0.000 8.086
```

16.
Below is a relaxed structure of Hf2Os2Au, with properties calculated at the GGA-PBE level.

The space-group type is No. 127. The density comes out at 17.00 g/cm3. Its energy of formation from the pure elements is -0.24 eV/atom.

Geometry as extended XYZ:
```
10
Lattice="7.426 0.000 0.000 0.000 7.426 0.000 0.000 0.000 3.310" Properties=species:S:1:pos:R:3 pbc="T T T"
Hf 1.195 2.519 0.000
Hf 2.519 6.232 0.000
Hf 4.908 1.195 0.000
Hf 6.232 4.908 0.000
Os 1.009 4.723 1.655
Os 2.704 1.009 1.655
Os 4.723 6.417 1.655
Os 6.417 2.704 1.655
Au 0.000 0.000 1.655
Au 3.713 3.713 1.655
```

17.
Below is a relaxed structure of InAuBr2, with properties calculated at the GGA-PBE level.

The space-group type is No. 216. The calculation puts the offset from the most stable computed form at 0.501 eV per atom. The density comes out at 7.72 g/cm3.

Geometry as extended XYZ:
```
4
Lattice="0.000 3.702 3.702 3.702 0.000 3.702 3.702 3.702 0.000" Properties=species:S:1:pos:R:3 pbc="T T T"
In 0.000 0.000 0.000
Au 5.553 5.553 5.553
Br 1.851 1.851 1.851
Br 3.702 3.702 3.702
```

18.
Below is a relaxed structure of TaMn2Br, with properties calculated at the GGA-PBE level.

The space-group type is No. 65. The calculation puts the offset from the most stable computed form at 0.380 eV per atom. The density comes out at 9.25 g/cm3.

Geometry as extended XYZ:
```
4
Lattice="2.693 -3.965 0.000 2.693 3.965 0.000 0.000 0.000 3.117" Properties=species:S:1:pos:R:3 pbc="T T T"
Ta 0.000 0.000 0.000
Mn 1.346 1.983 1.558
Mn 1.346 -1.983 1.558
Br 2.693 0.000 0.000
```